MgRuRh2 PBE-GGA relaxed; Fermi-level density of states = 2.5 states/eV per cell; calculated volume = 58.8 Å³/f.u.; M_tot = 0.00 μB/cell; E_form = 75 meV per atom; VASP energy = -6.32 eV per atom
1.0
4.365 0.000 0.000
2.182 3.780 0.000
2.182 1.260 3.564
Mg Ru Rh
1 1 2
Cartesian
6.547 3.780 2.673 Mg
4.365 2.520 1.781 Ru
6.547 3.780 0.001 Rh
2.182 1.260 0.891 Rh


MgZnSnSe4 PBE-GGA relaxed; calculated volume = 193.6 Å³/f.u.; ΔE_f (raw) = -15.8 kcal/mol of atoms; M_tot = 0.00 μB/cell; VASP energy = -3.66 eV per atom
1.0
5.825 0.000 0.000
0.000 5.825 0.000
-2.912 -2.912 5.707
Mg Zn Sn Se
1 1 1 4
Cartesian
0.000 0.000 0.000 Mg
0.000 2.912 2.854 Zn
2.912 2.912 0.000 Sn
-1.504 -1.375 4.122 Se
1.538 4.417 1.585 Se
1.504 1.375 4.122 Se
4.287 1.408 1.585 Se


NdHoAg2Te4 PBE-GGA relaxed; Fermi-level density of states = 0.1 states/eV per cell; calculated volume = 269.8 Å³/f.u.; ΔE_f (raw) = -16.5 kcal/mol of atoms; M_tot = 0.00 μB/cell; VASP energy = -4.17 eV per atom
1.0
7.534 0.000 0.000
3.767 5.974 -0.493
3.767 -0.002 5.994
Nd Ho Ag Te
1 1 2 4
Cartesian
0.000 0.000 0.000 Nd
7.534 2.986 2.750 Ho
3.767 1.882 1.733 Ag
11.302 4.090 3.768 Ag
5.905 0.501 2.664 Te
5.905 5.470 2.837 Te
9.164 2.696 0.281 Te
9.164 3.276 5.220 Te


TbInHg PBE-GGA relaxed; Fermi-level density of states = 0.7 states/eV per cell; calculated volume = 82.2 Å³/f.u.; M_tot = 0.00 μB/cell; E_form = -423 meV per atom; VASP energy = -2.98 eV per atom
1.0
4.881 0.000 0.000
2.441 4.227 0.000
2.441 1.409 3.986
Tb Hg In
1 1 1
Cartesian
4.881 2.818 1.993 Tb
2.441 1.409 0.996 Hg
0.000 0.000 0.000 In


TbDyZnRu PBE-GGA relaxed; Fermi-level density of states = 2.8 states/eV per cell; calculated volume = 84.4 Å³/f.u.; M_tot = 0.00 μB/cell; E_form = -354 meV per atom; VASP energy = -5.30 eV per atom
1.0
-1.147 1.402 4.579
-3.365 -2.511 2.573
1.388 -2.755 3.839
Ru Zn Tb Dy
1 1 1 1
Cartesian
-2.343 -2.898 8.243 Ru
-0.781 -0.966 2.748 Zn
-1.562 -1.932 5.496 Tb
0.000 0.000 0.000 Dy


Re3PdAu PBE-GGA relaxed; Fermi-level density of states = 8.2 states/eV per cell; calculated volume = 102.3 Å³/f.u.; M_tot = 0.87 μB/cell; E_form = 2633 meV per atom; offset from the most stable computed form = 0.00 eV per formula unit; VASP energy = -6.53 eV per atom
1.0
4.677 0.000 0.000
0.000 4.677 0.000
0.000 0.000 4.677
Re Au Pd
3 1 1
Cartesian
0.000 2.339 0.000 Re
0.000 0.000 2.339 Re
2.339 0.000 0.000 Re
2.339 2.339 2.339 Au
0.000 0.000 0.000 Pd


Q: Among the records above, which one has the highest M_tot?
A: Re3PdAu